Entry 1:
## LaSm6Tm4 (PBE-GGA)

Data for a relaxed LaSm6Tm4 crystal.

Calculated values
DFT formation energy	375.1	meV per atom
magnetic moment	0.00	μB per atom
space group	I-42m, No. 121

Cell lengths 7.592, 7.592, 8.596 Å; angles 116.21, 116.21, 90.00 degrees
Element x y z (fractional)
Sm  0.924  0.452  0.376
Sm  0.500  0.000  0.000
Sm  0.548  0.548  0.624
Tm  0.080  0.761  0.841
La  0.500  0.500  0.000
Sm  0.076  0.076  0.624
Sm  0.000  0.500  0.000
Tm  0.239  0.239  0.159
Sm  0.452  0.924  0.376
Tm  0.761  0.080  0.841
Tm  0.920  0.920  0.159

***

Entry 2:
## La7SmTm2 (PBE-GGA)

Data for a relaxed La7SmTm2 crystal.

Calculated values
DFT formation energy	597.7	meV per atom
magnetic moment	0.00	μB per atom
space group	Cmmm, No. 65

Cell lengths 5.853, 9.244, 9.244 Å; angles 120.97, 90.00, 90.00 degrees
Element x y z (fractional)
Tm  0.500  0.704  0.296
La  0.000  0.238  0.762
Tm  0.500  0.296  0.704
La  0.500  0.701  0.934
La  0.500  0.934  0.701
La  0.500  0.066  0.299
La  0.000  0.762  0.238
La  0.500  0.500  0.500
Sm  0.000  0.000  0.000
La  0.500  0.299  0.066

***

Entry 3:
## La3Sm7Tm2 (PBE-GGA)

Data for a relaxed La3Sm7Tm2 crystal.

Calculated values
DFT formation energy	260.8	meV per atom
magnetic moment	0.00	μB per atom
space group	R-3m, No. 166

Cell lengths 6.620, 6.620, 12.059 Å; angles 74.07, 74.07, 60.00 degrees
Element x y z (fractional)
Tm  0.667  0.667  0.000
Tm  0.333  0.333  0.000
Sm  0.416  0.416  0.249
Sm  0.584  0.584  0.751
La  0.155  0.155  0.536
Sm  0.500  0.500  0.500
La  0.845  0.845  0.464
Sm  0.584  0.081  0.751
Sm  0.919  0.416  0.249
La  0.000  0.000  0.000
Sm  0.416  0.919  0.249
Sm  0.081  0.584  0.751

***

Entry 4:
## La4Sm2Tm3 (PBE-GGA)

Data for a relaxed La4Sm2Tm3 crystal.

Calculated values
DFT formation energy	57.3	meV per atom
magnetic moment	0.00	μB per atom
energy relative to the lowest polymorph listed for this composition	0.000	eV per atom
space group	P3m1, No. 156

Cell lengths 3.623, 3.623, 27.232 Å; angles 90.00, 90.00, 120.00 degrees
Element x y z (fractional)
Tm  0.000  0.000  0.982
La  0.667  0.333  0.429
La  0.000  0.000  0.549
La  0.667  0.333  0.217
Sm  0.667  0.333  0.878
Tm  0.000  0.000  0.322
Sm  0.667  0.333  0.084
Tm  0.667  0.333  0.655
La  0.000  0.000  0.762

***

Entry 5:
## LaSm6Tm5 (PBE-GGA)

Data for a relaxed LaSm6Tm5 crystal.

Calculated values
DFT formation energy	24.3	meV per atom
magnetic moment	0.00	μB per atom
space group	Cmmm, No. 65

Cell lengths 5.068, 8.016, 10.113 Å; angles 90.00, 90.00, 71.57 degrees
Element x y z (fractional)
Sm  0.167  0.666  0.253
Sm  0.167  0.666  0.747
Tm  0.000  0.000  0.500
Tm  0.669  0.662  0.000
Sm  0.833  0.334  0.747
Tm  0.667  0.666  0.500
Sm  0.833  0.334  0.253
Tm  0.331  0.338  0.000
Tm  0.333  0.334  0.500
Sm  0.500  0.000  0.746
Sm  0.500  0.000  0.254
La  0.000  0.000  0.000

***

Entry 6:
## La4Sm2Tm3 (PBE-GGA)

Data for a relaxed La4Sm2Tm3 crystal.

Calculated values
DFT formation energy	103.9	meV per atom
magnetic moment	0.00	μB per atom
energy relative to the lowest polymorph listed for this composition	0.047	eV per atom
space group	P-1, No. 2

Cell lengths 3.672, 11.862, 9.736 Å; angles 132.71, 91.57, 88.69 degrees
Element x y z (fractional)
Sm  0.788  0.300  0.575
Tm  0.264  0.057  0.177
Tm  0.736  0.943  0.823
La  0.243  0.643  0.758
La  0.757  0.357  0.242
La  0.219  0.134  0.730
La  0.781  0.866  0.270
Tm  0.500  0.500  0.000
Sm  0.212  0.700  0.425